Record 1
# LiTaRe3

A geometry-optimized LiTaRe3 structure (PBE-GGA, Alexandria).

Values from the calculation:
**ΔE to the lowest computed polymorph**: 1.163 eV per atom
**DFT total energy**: -40.11 eV per cell
**Energy of formation from the pure elements**: 2200 meV/atom

abc: 4.809 4.809 4.809
angles: 90.00 90.00 90.00
Each line ends with the local moment (μB).
Element x y z (fractional)
Re: 0.000 0.500 0.000  0.64
Re: 0.000 0.000 0.500  0.64
Re: 0.500 0.000 0.000  0.69
Li: 0.500 0.500 0.500  -0.01
Ta: 0.000 0.000 0.000  -0.08


Record 2
# LiTaRe

A geometry-optimized LiTaRe structure (PBE-GGA, Alexandria).

Values from the calculation:
**ΔE to the lowest computed polymorph**: 0.338 eV per atom
**DFT total energy**: -24.87 eV per cell
**Energy of formation from the pure elements**: 449 meV/atom

abc: 7.254 7.254 7.254
angles: 158.97 158.97 29.92
Element x y z (fractional)
Li: 0.992 0.992 0.000
Re: 0.336 0.336 0.000
Ta: 0.672 0.672 0.000


Record 3
# LiTaRe

A geometry-optimized LiTaRe structure (PBE-GGA, Alexandria).

Values from the calculation:
**ΔE to the lowest computed polymorph**: 0.134 eV per atom
**DFT total energy**: -25.48 eV per cell
**Energy of formation from the pure elements**: 244 meV/atom

abc: 7.422 7.256 2.704
angles: 82.86 75.95 21.20
Element x y z (fractional)
Li: 0.008 0.008 0.992
Re: 0.666 0.666 0.334
Ta: 0.325 0.325 0.675


Record 4
# Li2TaRe

A geometry-optimized Li2TaRe structure (PBE-GGA, Alexandria).

Values from the calculation:
**ΔE to the lowest computed polymorph**: 0.546 eV per atom
**DFT total energy**: -25.29 eV per cell
**Energy of formation from the pure elements**: 711 meV/atom

abc: 4.244 4.244 4.244
angles: 60.00 60.00 60.00
Element x y z (fractional)
Re: 0.500 0.500 0.500
Li: 0.250 0.250 0.250
Li: 0.750 0.750 0.750
Ta: 0.000 0.000 0.000